DFT (PBE with a Hubbard U) results for a geometry-optimized PrVSeO2 structure.

a = 6.623 Å, b = 6.623 Å, c = 5.347 Å
α = 90.00°, β = 90.00°, γ = 132.00°
Element x y z (fractional)
Pr: 0.117 0.883 0.750
Pr: 0.883 0.117 0.250
V: 0.434 0.566 0.750
V: 0.566 0.434 0.250
Se: 0.247 0.753 0.250
Se: 0.753 0.247 0.750
O: 0.268 0.268 0.000
O: 0.268 0.268 0.500
O: 0.732 0.732 0.000
O: 0.732 0.732 0.500

## Properties
As for the uncorrected energy: -0.2668 hartree per atom.